(1)
DFT (PBEsol) results for a relaxed structure of RbLiSbTe2.

Values from the calculation:
- density (g/cm³) = 5.4
- crystal system = tetragonal
- DFT total energy (eV per cell) = -15.66
- ΔE_f (raw) (eV/atom) = -0.21

Geometry as POSCAR:
```
RbLiSbTe2
1.0
5.042 0.000 0.000
0.000 5.366 0.000
0.000 0.000 5.366
Li Te Rb Sb
1 2 1 1
Cartesian
0.000 0.000 0.000
0.000 2.683 0.000
0.000 0.000 2.683
2.521 2.683 2.683
2.521 0.000 0.000
```



(2)
DFT (PBEsol) results for a relaxed structure of RbLiSb2Te.

Values from the calculation:
- distance to the lowest polymorph of the same formula (meV per atom) = 0
- density (g/cm³) = 5.4
- crystal system = tetragonal
- DFT total energy (eV per cell) = -16.11
- ΔE_f (raw) (eV/atom) = -0.09

Geometry as POSCAR:
```
RbLiSb2Te
1.0
5.117 0.000 0.000
0.000 5.117 0.000
0.000 0.000 5.445
Sb Te Rb Li
2 1 1 1
Cartesian
0.000 2.558 0.000
2.558 0.000 0.000
0.000 0.000 2.723
2.558 2.558 2.723
0.000 0.000 0.000
```



(3)
DFT (PBEsol) results for a relaxed structure of RbLiSb2Te.

Values from the calculation:
- distance to the lowest polymorph of the same formula (meV per atom) = 1074
- density (g/cm³) = 3.5
- crystal system = tetragonal
- DFT total energy (eV per cell) = -10.74
- ΔE_f (raw) (eV/atom) = 0.98

Geometry as POSCAR:
```
RbLiSb2Te
1.0
-3.671 1.642 -4.382
4.081 -1.602 -4.019
-2.363 -5.662 -0.142
Li Sb Rb Te
1 2 1 1
Cartesian
-0.976 -2.811 -4.272
2.040 -0.801 -2.009
-1.835 0.821 -2.191
0.000 0.000 0.000
-1.181 -2.831 -0.071
```



(4)
DFT (PBEsol) results for a relaxed structure of RbLi3Se.

Values from the calculation:
- density (g/cm³) = 2.2
- crystal system = cubic
- DFT total energy (eV per cell) = -13.21
- ΔE_f (raw) (eV/atom) = -0.49

Geometry as POSCAR:
```
RbLi3Se
1.0
-3.677 3.138 -1.876
0.158 -2.522 -4.528
-3.652 -3.268 1.693
Li Se Rb
3 1 1
Cartesian
-1.839 1.569 -0.938
0.079 -1.261 -2.264
-1.826 -1.634 0.846
0.000 0.000 0.000
-3.586 -1.326 -2.355
```



(5)
DFT (PBEsol) results for a relaxed structure of RbLi2Se2.

Values from the calculation:
- density (g/cm³) = 3.8
- crystal system = tetragonal
- DFT total energy (eV per cell) = -17.77
- ΔE_f (raw) (eV/atom) = -1.02

Geometry as POSCAR:
```
RbLi2Se2
1.0
4.460 0.000 0.000
0.000 4.460 0.000
-2.230 -2.230 5.676
Rb Li Se
1 2 2
Cartesian
0.000 0.000 0.000
0.000 2.230 2.838
2.230 0.000 2.838
2.230 2.230 1.551
0.000 0.000 4.125
```



(6)
DFT (PBEsol) results for a relaxed structure of RbLi2SnSe.

Values from the calculation:
- density (g/cm³) = 3.1
- crystal system = tetragonal
- DFT total energy (eV per cell) = -9.01
- ΔE_f (raw) (eV/atom) = 0.81

Geometry as POSCAR:
```
RbLi2SnSe
1.0
-0.116 -4.912 1.333
4.918 0.236 1.297
-1.598 1.603 5.767
Li Rb Se Sn
2 1 1 1
Cartesian
-0.058 -2.456 0.667
2.459 0.118 0.649
0.000 0.000 0.000
1.602 -1.537 4.199
-0.799 0.802 2.883
```



(7)
DFT (PBEsol) results for a relaxed structure of RbSrLi2.

Values from the calculation:
- density (g/cm³) = 1.8
- energy of formation from the pure elements (eV per atom) = 0.284
- crystal system = tetragonal
- DFT total energy (eV per cell) = -11.33

Geometry as POSCAR:
```
RbSrLi2
1.0
-5.902 0.856 -4.834
-7.214 -1.149 2.508
-3.395 6.898 -0.730
Sr Li Rb
2 4 2
Cartesian
0.000 0.000 0.000
-9.731 3.517 -2.737
-12.172 7.061 -3.701
-9.642 2.400 1.529
-5.815 -0.242 -0.564
-5.393 3.991 -3.377
-6.780 3.089 -0.320
-2.951 0.428 -2.417
```



(8)
DFT (PBEsol) results for a relaxed structure of RbLiTc3.

Values from the calculation:
- density (g/cm³) = 7.1
- energy of formation from the pure elements (eV per atom) = 2.261
- crystal system = cubic
- DFT total energy (eV per cell) = -25.48

Geometry as POSCAR:
```
RbLiTc3
1.0
4.488 0.000 0.000
0.000 4.488 0.000
0.000 0.000 4.488
Tc Li Rb
3 1 1
Cartesian
0.000 2.244 0.000
0.000 0.000 2.244
2.244 0.000 0.000
0.000 0.000 0.000
2.244 2.244 2.244
```



(9)
DFT (PBEsol) results for a relaxed structure of RbLiTe2.

Values from the calculation:
- density (g/cm³) = 3.8
- crystal system = tetragonal
- DFT total energy (eV per cell) = -26.05
- ΔE_f (raw) (eV/atom) = -0.74

Geometry as POSCAR:
```
RbLiTe2
1.0
5.854 0.000 0.000
0.000 5.854 0.000
-2.927 -2.927 8.942
Rb Te Li
2 4 2
Cartesian
0.000 0.000 0.000
0.000 2.927 4.471
1.463 0.373 6.707
2.554 4.390 2.236
-1.463 -0.373 6.707
3.300 1.463 2.236
2.927 0.000 4.471
2.927 2.927 0.000
```



(10)
DFT (PBEsol) results for a relaxed structure of RbLi3Te.

Values from the calculation:
- density (g/cm³) = 2.4
- crystal system = cubic
- DFT total energy (eV per cell) = -12.33
- ΔE_f (raw) (eV/atom) = -0.38

Geometry as POSCAR:
```
RbLi3Te
1.0
-3.961 2.225 -3.065
1.734 -2.878 -4.330
-3.368 -4.099 1.376
Rb Li Te
1 3 1
Cartesian
-2.797 -2.376 -3.010
0.867 -1.439 -2.165
-1.980 1.113 -1.533
-1.684 -2.050 0.688
0.000 0.000 0.000
```



(11)
DFT (PBEsol) results for a relaxed structure of RbLi2Te2.

Values from the calculation:
- distance to the lowest polymorph of the same formula (meV per atom) = 0
- density (g/cm³) = 4.2
- crystal system = tetragonal
- DFT total energy (eV per cell) = -16.41
- ΔE_f (raw) (eV/atom) = -0.88

Geometry as POSCAR:
```
RbLi2Te2
1.0
-3.317 -3.409 -0.365
2.172 -2.482 3.446
-2.865 5.836 2.709
Rb Te Li
1 2 2
Cartesian
0.000 0.000 0.000
-1.499 -2.166 2.686
-2.510 2.111 3.103
-3.377 -0.259 1.942
-0.632 0.204 3.847
```



(12)
DFT (PBEsol) results for a relaxed structure of RbLi2Te2.

Values from the calculation:
- distance to the lowest polymorph of the same formula (meV per atom) = 42
- density (g/cm³) = 4.6
- crystal system = tetragonal
- DFT total energy (eV per cell) = -32.40
- ΔE_f (raw) (eV/atom) = -0.84

Geometry as POSCAR:
```
RbLi2Te2
1.0
3.400 0.000 0.000
0.000 8.718 0.000
0.000 0.000 8.718
Te Li Rb
4 4 2
Cartesian
1.700 5.828 7.249
1.700 7.249 2.890
1.700 2.890 1.469
1.700 1.469 5.828
0.000 1.040 3.319
0.000 5.399 1.040
0.000 3.319 7.679
0.000 7.679 5.399
0.000 4.359 4.359
0.000 0.000 0.000
```



Table of size of the total moment (μB/f.u.), in record order: 0.00, 0.00, 0.00, 0.00, 0.00, 0.00, 0.00, 6.01, 0.00, 0.00, 0.00, 0.00